1.
KBe2FeO (PBE with a Hubbard U, relaxed); density of states at the Fermi level = 0.71 states/eV/atom; total magnetization = 3.7 μB/cell; DFT total energy = -13.363 eV per cell
1.0
4.241 0.000 0.000
0.000 4.241 0.000
0.000 0.000 6.803
K Be Fe O
1 2 1 1
direct
0.000 0.000 0.000
0.000 0.500 0.500
0.500 0.000 0.500
0.000 0.000 0.500
0.500 0.500 0.000

---

2.
K2BeFeO4 (PBE with a Hubbard U, relaxed); density of states at the Fermi level = 0.03 states/eV/atom; total magnetization = 8.0 μB/cell; DFT total energy = -88.787 eV per cell
1.0
0.000 5.841 9.407
2.375 0.000 9.407
2.375 5.841 0.000
K Be Fe O
4 2 2 8
direct
0.051 0.051 0.699
0.301 0.301 0.949
0.699 0.699 0.051
0.949 0.949 0.301
0.125 0.125 0.125
0.875 0.875 0.875
0.375 0.375 0.375
0.625 0.625 0.625
0.026 0.306 0.396
0.229 0.604 0.694
0.306 0.026 0.771
0.396 0.771 0.026
0.604 0.229 0.974
0.694 0.974 0.229
0.771 0.396 0.306
0.974 0.694 0.604

---

Please write out number 1 again, unchanged.
KBe2FeO (PBE with a Hubbard U, relaxed); density of states at the Fermi level = 0.71 states/eV/atom; total magnetization = 3.7 μB/cell; DFT total energy = -13.363 eV per cell
1.0
4.241 0.000 0.000
0.000 4.241 0.000
0.000 0.000 6.803
K Be Fe O
1 2 1 1
direct
0.000 0.000 0.000
0.000 0.500 0.500
0.500 0.000 0.500
0.000 0.000 0.500
0.500 0.500 0.000